{
  "formula": "Tb6HgRh2",
  "functional": "GGA-PBE",
  "state": "optimized geometry",
  "dft_energy_ev_per_fu": -47.74,
  "polymorph_energy_mev_per_atom": 0.0,
  "mass_density_g_cm3": 9.61,
  "lattice_angstrom": [[-4.6918, 4.8284, 5.1883], [4.6918, -4.8284, 5.1883], [4.6918, 4.8284, -5.1883]],
  "species": ["Tb", "Tb", "Tb", "Tb", "Tb", "Tb", "Tb", "Tb", "Tb", "Tb", "Tb", "Tb", "Hg", "Hg", "Rh", "Rh", "Rh", "Rh"],
  "frac_coords": [[0.0396, 0.2380, 0.8016], [0.1803, 0.2859, 0.4662], [0.1803, 0.7141, 0.8944], [0.3292, 0.0225, 0.6933], [0.3292, 0.6360, 0.3067], [0.4364, 0.2380, 0.1984], [0.5636, 0.7620, 0.8016], [0.6708, 0.3640, 0.6933], [0.6708, 0.9775, 0.3067], [0.8197, 0.2859, 0.1056], [0.8197, 0.7141, 0.5338], [0.9604, 0.7620, 0.1984], [0.0000, 0.0000, 0.0000], [0.5000, 0.5000, 0.0000], [0.1318, 0.6318, 0.5000], [0.3361, 0.0000, 0.3361], [0.6639, 0.0000, 0.6639], [0.8682, 0.3682, 0.5000]]
}

=====

{
  "formula": "Tb6Hg5Rh",
  "functional": "GGA-PBE",
  "state": "optimized geometry",
  "dft_energy_ev_per_fu": -43.17,
  "mass_density_g_cm3": 11.39,
  "lattice_angstrom": [[5.2146, 0.0000, 0.0000], [0.0000, 7.3810, 0.0000], [-2.5941, 0.0000, 7.8027]],
  "species": ["Tb", "Tb", "Tb", "Tb", "Tb", "Tb", "Hg", "Hg", "Hg", "Hg", "Hg", "Rh"],
  "frac_coords": [[0.0000, 0.2328, 0.0000], [0.0000, 0.7672, 0.0000], [0.3425, 0.2415, 0.6852], [0.3425, 0.7585, 0.6852], [0.6575, 0.2415, 0.3148], [0.6575, 0.7585, 0.3148], [0.1700, 0.5000, 0.3399], [0.1765, 0.0000, 0.3521], [0.5000, 0.5000, 0.0000], [0.8235, 0.0000, 0.6479], [0.8300, 0.5000, 0.6601], [0.5000, 0.0000, 0.0000]]
}

=====

{
  "formula": "Tb4HgRh",
  "functional": "GGA-PBE",
  "state": "optimized geometry",
  "dft_energy_ev_per_fu": -28.29,
  "polymorph_energy_mev_per_atom": 186.9,
  "mass_density_g_cm3": 8.73,
  "lattice_angstrom": [[7.3364, 0.0000, 0.0000], [0.0000, 7.0329, 0.0000], [-0.3043, 0.0000, 6.9223]],
  "species": ["Tb", "Tb", "Tb", "Tb", "Tb", "Tb", "Tb", "Tb", "Hg", "Hg", "Rh", "Rh"],
  "frac_coords": [[0.1434, 0.1562, 0.1746], [0.1434, 0.3438, 0.6746], [0.3173, 0.6474, 0.1293], [0.3173, 0.8526, 0.6293], [0.6827, 0.1474, 0.3707], [0.6827, 0.3526, 0.8707], [0.8566, 0.6562, 0.3254], [0.8566, 0.8438, 0.8254], [0.5000, 0.0000, 0.0000], [0.5000, 0.5000, 0.5000], [0.0000, 0.0000, 0.5000], [0.0000, 0.5000, 0.0000]]
}

=====

no.,D(E_F) (states/eV per atom),formation energy (kcal/mol of atoms)
1,0.9277,-12.70
2,0.5981,-12.55
3,1.0852,-8.14